[1]
This record from Alexandria via LeMat-Bulk describes CaPm4Gd after structural relaxation. The functional is PBE.

Cell and atoms, written as POSCAR:
```
CaPm4Gd
1.0
6.783 0.000 0.000
3.392 5.875 0.000
3.392 1.958 5.539
Ca Gd Pm
1 1 4
Direct
0.250 0.250 0.250
0.000 0.000 0.000
0.626 0.626 0.122
0.626 0.122 0.626
0.626 0.626 0.626
0.122 0.626 0.626
```

## Properties
- uncorrected energy (eV per atom) = -5.646
- magnetic moment (μB/f.u.) = 7.2
- SG = F-43m (216)
- energy of formation from the pure elements (eV/atom) = 0.20

---

[2]
This record from Alexandria via LeMat-Bulk describes CaPm2Gd after structural relaxation. The functional is PBE.

Cell and atoms, written as POSCAR:
```
CaPm2Gd
1.0
-0.111 1.115 -3.416
2.404 -1.232 -2.372
-7.078 -9.741 -4.840
Ca Gd Pm
1 1 2
Direct
0.000 0.000 0.000
0.500 0.500 0.500
0.091 0.091 0.726
0.909 0.909 0.274
```

## Properties
- distance to the lowest polymorph of the same formula (meV per atom) = 87.1
- uncorrected energy (eV per atom) = -6.259
- magnetic moment (μB/f.u.) = 7.1
- SG = R-3m (166)
- energy of formation from the pure elements (eV/atom) = 0.14

---

[3]
This record from Alexandria via LeMat-Bulk describes CaPmGd after structural relaxation. The functional is PBE.

Cell and atoms, written as POSCAR:
```
CaPmGd
1.0
-1.989 -0.153 -3.089
-1.663 -0.235 3.271
-0.958 9.103 0.166
Ca Gd Pm
1 1 1
Direct
0.000 0.000 0.001
0.667 0.333 0.346
0.333 0.667 0.653
```

## Properties
- distance to the lowest polymorph of the same formula (meV per atom) = 5.7
- uncorrected energy (eV per atom) = -6.896
- magnetic moment (μB/f.u.) = 7.4
- SG = P3m1 (156)
- energy of formation from the pure elements (eV/atom) = 0.05

---

[4]
This record from Alexandria via LeMat-Bulk describes CaPmGd2 after structural relaxation. The functional is PBE.

Cell and atoms, written as POSCAR:
```
CaPmGd2
1.0
-2.147 -0.322 -5.380
-5.164 -2.480 -0.918
-4.557 3.260 -1.505
Ca Gd Pm
1 2 1
Direct
0.500 0.500 0.500
0.250 0.250 0.250
0.750 0.750 0.750
0.000 0.000 0.000
```

## Properties
- distance to the lowest polymorph of the same formula (meV per atom) = 81.9
- uncorrected energy (eV per atom) = -8.597
- magnetic moment (μB/f.u.) = 15.4
- SG = Fm-3m (225)
- energy of formation from the pure elements (eV/atom) = 0.13

---

[5]
This record from Alexandria via LeMat-Bulk describes CaPmGd after structural relaxation. The functional is PBE.

Cell and atoms, written as POSCAR:
```
CaPmGd
1.0
-1.572 -0.980 -3.195
3.339 -0.606 -1.457
-1.175 -6.656 4.755
Ca Gd Pm
1 1 1
Direct
0.000 0.000 0.000
0.324 0.324 0.649
0.676 0.676 0.351
```

## Properties
- distance to the lowest polymorph of the same formula (meV per atom) = 0.0
- uncorrected energy (eV per atom) = -6.902
- magnetic moment (μB/f.u.) = 7.4
- SG = I4mm (107)
- energy of formation from the pure elements (eV/atom) = 0.04

---

[6]
This record from Alexandria via LeMat-Bulk describes CaPm2Gd after structural relaxation. The functional is PBE.

Cell and atoms, written as POSCAR:
```
CaPm2Gd
1.0
-5.635 -0.766 -1.300
-1.810 -5.065 -2.260
-3.266 -3.622 3.202
Ca Gd Pm
1 1 2
Direct
0.500 0.500 0.500
0.000 0.000 0.000
0.250 0.250 0.250
0.750 0.750 0.750
```

## Properties
- distance to the lowest polymorph of the same formula (meV per atom) = 76.4
- uncorrected energy (eV per atom) = -6.270
- magnetic moment (μB/f.u.) = 7.9
- SG = Fm-3m (225)
- energy of formation from the pure elements (eV/atom) = 0.13

---

[7]
This record from Alexandria via LeMat-Bulk describes CaPmPrGd after structural relaxation. The functional is PBE.

Cell and atoms, written as POSCAR:
```
CaPmPrGd
1.0
-2.205 -5.405 -0.527
1.194 -4.061 4.054
-4.206 -1.818 3.654
Pr Ca Gd Pm
1 1 1 1
Direct
0.250 0.250 0.250
0.000 0.000 0.000
0.500 0.500 0.500
0.750 0.750 0.750
```

## Properties
- uncorrected energy (eV per atom) = -6.287
- magnetic moment (μB/f.u.) = 7.9
- SG = F-43m (216)
- energy of formation from the pure elements (eV/atom) = 0.12

---

[8]
This record from Alexandria via LeMat-Bulk describes CaPmGdSc after structural relaxation. The functional is PBE.

Cell and atoms, written as POSCAR:
```
CaPmGdSc
1.0
-3.840 0.914 4.069
-5.473 -1.118 -0.965
-2.495 -4.388 2.580
Sc Ca Gd Pm
1 1 1 1
Direct
0.750 0.750 0.750
0.250 0.250 0.250
0.000 0.000 0.000
0.500 0.500 0.500
```

## Properties
- uncorrected energy (eV per atom) = -6.646
- magnetic moment (μB/f.u.) = 7.2
- SG = F-43m (216)
- energy of formation from the pure elements (eV/atom) = 0.15

---

[9]
This record from Alexandria via LeMat-Bulk describes CaPmSmGd after structural relaxation. The functional is PBE.

Cell and atoms, written as POSCAR:
```
CaPmSmGd
1.0
5.826 0.000 0.000
2.913 5.045 0.000
2.913 1.682 4.757
Ca Gd Sm Pm
1 1 1 1
Direct
0.500 0.500 0.500
0.000 0.000 0.000
0.250 0.250 0.250
0.750 0.750 0.750
```

## Properties
- uncorrected energy (eV per atom) = -6.258
- magnetic moment (μB/f.u.) = 7.9
- SG = F-43m (216)
- energy of formation from the pure elements (eV/atom) = 0.13

---

[10]
This record from Alexandria via LeMat-Bulk describes CaPmGdSn after structural relaxation. The functional is PBE.

Cell and atoms, written as POSCAR:
```
CaPmGdSn
1.0
-2.960 -4.096 2.215
-2.731 -3.510 -3.266
1.718 -5.221 -0.487
Ca Gd Sn Pm
1 1 1 1
Direct
0.250 0.250 0.250
0.000 0.000 0.000
0.750 0.750 0.750
0.500 0.500 0.500
```

## Properties
- uncorrected energy (eV per atom) = -6.488
- magnetic moment (μB/f.u.) = 7.9
- SG = F-43m (216)
- energy of formation from the pure elements (eV/atom) = -0.28

---

[11]
This record from Alexandria via LeMat-Bulk describes SrCaPmGd after structural relaxation. The functional is PBE.

Cell and atoms, written as POSCAR:
```
SrCaPmGd
1.0
6.037 0.000 0.000
3.019 5.228 0.000
3.019 1.743 4.929
Sr Ca Gd Pm
1 1 1 1
Direct
0.500 0.500 0.500
0.750 0.750 0.750
0.250 0.250 0.250
0.000 0.000 0.000
```

## Properties
- uncorrected energy (eV per atom) = -5.454
- magnetic moment (μB/f.u.) = 7.2
- SG = F-43m (216)
- energy of formation from the pure elements (eV/atom) = 0.17

---

[12]
This record from Alexandria via LeMat-Bulk describes CaTbPmGd after structural relaxation. The functional is PBE.

Cell and atoms, written as POSCAR:
```
CaTbPmGd
1.0
5.796 0.000 0.000
2.898 5.020 0.000
2.898 1.673 4.732
Ca Gd Tb Pm
1 1 1 1
Direct
0.250 0.250 0.250
0.750 0.750 0.750
0.000 0.000 0.000
0.500 0.500 0.500
```

## Properties
- uncorrected energy (eV per atom) = -6.225
- magnetic moment (μB/f.u.) = 7.9
- SG = F-43m (216)
- energy of formation from the pure elements (eV/atom) = 0.14

---

[13]
This record from Alexandria via LeMat-Bulk describes CaPmGdTl after structural relaxation. The functional is PBE.

Cell and atoms, written as POSCAR:
```
CaPmGdTl
1.0
5.592 0.000 0.000
2.796 4.843 0.000
2.796 1.614 4.566
Tl Gd Ca Pm
1 1 1 1
Direct
0.000 0.000 0.000
0.250 0.250 0.250
0.750 0.750 0.750
0.500 0.500 0.500
```

## Properties
- uncorrected energy (eV per atom) = -5.802
- magnetic moment (μB/f.u.) = 9.2
- SG = F-43m (216)
- energy of formation from the pure elements (eV/atom) = 0.00

---

[14]
This record from Alexandria via LeMat-Bulk describes CaPmGdTm after structural relaxation. The functional is PBE.

Cell and atoms, written as POSCAR:
```
CaPmGdTm
1.0
-2.269 -5.287 -0.463
1.078 -3.204 -4.678
3.401 -4.645 0.404
Gd Ca Tm Pm
1 1 1 1
Direct
0.500 0.500 0.500
0.250 0.250 0.250
0.750 0.750 0.750
0.000 0.000 0.000
```

## Properties
- uncorrected energy (eV per atom) = -6.200
- magnetic moment (μB/f.u.) = 7.5
- SG = F-43m (216)
- energy of formation from the pure elements (eV/atom) = 0.13

---

[15]
This record from Alexandria via LeMat-Bulk describes CaPmGdY after structural relaxation. The functional is PBE.

Cell and atoms, written as POSCAR:
```
CaPmGdY
1.0
-2.889 0.225 5.030
0.968 -4.009 4.085
2.784 1.447 4.884
Y Ca Gd Pm
1 1 1 1
Direct
0.750 0.750 0.750
0.000 0.000 0.000
0.250 0.250 0.250
0.500 0.500 0.500
```

## Properties
- uncorrected energy (eV per atom) = -6.678
- magnetic moment (μB/f.u.) = 8.2
- SG = F-43m (216)
- energy of formation from the pure elements (eV/atom) = 0.15

---

[16]
This record from Alexandria via LeMat-Bulk describes CaPrGd after structural relaxation. The functional is PBE.

Cell and atoms, written as POSCAR:
```
CaPrGd
1.0
-3.644 -0.246 -0.578
1.482 -1.407 3.082
-1.222 8.064 4.268
Pr Ca Gd
1 1 1
Direct
0.333 0.667 0.653
0.000 0.000 0.003
0.667 0.333 0.344
```

## Properties
- distance to the lowest polymorph of the same formula (meV per atom) = 6.8
- uncorrected energy (eV per atom) = -6.914
- magnetic moment (μB/f.u.) = 7.4
- SG = P3m1 (156)
- energy of formation from the pure elements (eV/atom) = 0.04